VASP calculation (SCAN) on ZnCdSe3 at its PBEsol-relaxed geometry.

The structure in extended XYZ format:
```
5
Lattice="4.8511 0.0000 0.0000 0.0000 4.8511 0.0000 0.0000 0.0000 4.8511" Properties=species:S:1:pos:R:3 pbc="T T T"
Zn 0.0000 0.0000 0.0000
Cd 2.4255 2.4255 2.4255
Se 0.0000 0.0000 2.4255
Se 0.0000 2.4255 0.0000
Se 2.4255 0.0000 0.0000
```

Values from the calculation:
The raw total energy is -0.7540 Ha/atom. The formation energy (no corrections) is 314 meV per atom. The symmetry is Pm-3m.